[1]
This record from Alexandria describes LaTbSn after structural relaxation. The functional is GGA-PBE.

Computed properties:
Its density of states at the Fermi level is 2.13 states/eV per cell. As for the formation energy: -1.2 eV/f.u. The calculation puts the energy at -4.925 eV per atom. As for the space-group type: P3m1, No. 156. As for the crystal system: trigonal.

abc: 5.1417 5.1417 4.1960
angles: 90.00 90.00 120.00
Fractional positions:
La 0.0000 0.0000 0.0000
Tb 0.6667 0.3333 0.4567
Sn 0.3333 0.6667 0.5952

[2]
This record from Alexandria describes TeMo3Pd after structural relaxation. The functional is GGA-PBE.

Computed properties:
Its density of states at the Fermi level is 6.61 states/eV per cell. The energy relative to the elements, uncorrected comes out at 1.79 eV/atom. The calculation puts the energy at -6.379 eV per atom. As for the space-group type: Pm-3m, No. 221. As for the crystal system: cubic.

abc: 4.7908 4.7908 4.7908
angles: 90.00 90.00 90.00
Fractional positions:
Te 0.0000 0.0000 0.0000
Mo 0.0000 0.5000 0.5000
Mo 0.5000 0.0000 0.5000
Mo 0.5000 0.5000 0.0000
Pd 0.5000 0.5000 0.5000

[3]
This record from Alexandria describes TbInGePt after structural relaxation. The functional is GGA-PBE.

Computed properties:
Its density of states at the Fermi level is 0.55 states/eV per cell. As for the formation energy: -2.5 eV/f.u. The calculation puts the energy at -5.128 eV per atom. As for the space-group type: F-43m, No. 216. As for the crystal system: cubic.

abc: 4.9006 4.9006 4.9006
angles: 60.00 60.00 60.00
Fractional positions:
Tb 0.0000 0.0000 0.0000
In 0.5000 0.5000 0.5000
Ge 0.2500 0.2500 0.2500
Pt 0.7500 0.7500 0.7500

[4]
This record from Alexandria describes Tb4CeHo3 after structural relaxation. The functional is GGA-PBE.

Computed properties:
Its density of states at the Fermi level is 30.96 states/eV per cell. As for the formation energy: 0.3 eV/f.u. The calculation puts the energy at -4.733 eV per atom. As for the space-group type: Pmn2_1, No. 31. As for the crystal system: orthorhombic.

abc: 11.3038 7.2257 6.2441
angles: 90.00 90.00 90.00
Fractional positions:
Tb 0.0000 0.1275 0.0000
Tb 0.0000 0.8720 0.5023
Tb 0.2503 0.1270 0.3393
Tb 0.2497 0.8730 0.8393
Tb 0.5000 0.1280 0.0023
Tb 0.5000 0.8725 0.5000
Tb 0.7497 0.1270 0.3393
Tb 0.7503 0.8730 0.8393
Ce 0.0000 0.6234 0.0023
Ce 0.5000 0.3766 0.5023
Ho 0.0000 0.3772 0.5048
Ho 0.2502 0.3771 0.8338
Ho 0.2498 0.6229 0.3338
Ho 0.5000 0.6228 0.0048
Ho 0.7498 0.3771 0.8338
Ho 0.7502 0.6229 0.3338

[5]
This record from Alexandria describes BeTlIn2 after structural relaxation. The functional is GGA-PBE.

Computed properties:
Its density of states at the Fermi level is 1.47 states/eV per cell. As for the formation energy: 1.4 eV/f.u. The calculation puts the energy at -2.532 eV per atom. As for the space-group type: Immm, No. 71. As for the crystal system: orthorhombic.

abc: 6.6572 6.6572 6.6572
angles: 152.73 135.22 53.22
Fractional positions:
Be 0.0000 0.0000 0.0000
Tl 0.5000 0.5000 0.0000
In 0.1907 0.6907 0.5000
In 0.8093 0.3093 0.5000

[6]
This record from Alexandria describes Na2SnPCO7 after structural relaxation. The functional is GGA-PBE.

Computed properties:
Its density of states at the Fermi level is 5.21 states/eV per cell. The energy relative to the elements, uncorrected comes out at -1.79 eV/atom. The calculation puts the energy at -6.457 eV per atom. As for the space-group type: P2_1, No. 4. As for the crystal system: monoclinic.

abc: 5.2731 6.9095 9.3313
angles: 90.00 91.77 90.00
Fractional positions:
Na 0.2237 0.0000 0.4207
Na 0.2466 0.7582 0.7518
Na 0.7534 0.2582 0.2482
Na 0.7763 0.5000 0.5793
Sn 0.2292 0.5291 0.1476
Sn 0.7708 0.0291 0.8524
P 0.2895 0.0215 0.0875
P 0.7105 0.5215 0.9125
C 0.2669 0.5069 0.4422
C 0.7331 0.0069 0.5578
O 0.0512 0.5090 0.3648
O 0.1615 0.0056 0.9349
O 0.1907 0.1969 0.1753
O 0.2267 0.8426 0.1826
O 0.2648 0.5311 0.5771
O 0.4198 0.5441 0.9306
O 0.4769 0.4827 0.3734
O 0.5231 0.9827 0.6266
O 0.5802 0.0441 0.0694
O 0.7352 0.0311 0.4229
O 0.7733 0.3426 0.8174
O 0.8093 0.6969 0.8247
O 0.8385 0.5056 0.0651
O 0.9488 0.0090 0.6352

[7]
This record from Alexandria describes Ac8TlZn2 after structural relaxation. The functional is GGA-PBE.

Computed properties:
Its density of states at the Fermi level is 10.92 states/eV per cell. As for the formation energy: -1.1 eV/f.u. The calculation puts the energy at -3.539 eV per atom. As for the space-group type: C2/m, No. 12. As for the crystal system: monoclinic.

abc: 9.3050 9.3050 9.2451
angles: 117.93 117.93 36.88
Fractional positions:
Ac 0.0705 0.0705 0.2233
Ac 0.1440 0.1440 0.7091
Ac 0.3159 0.3159 0.5312
Ac 0.3976 0.3976 0.0420
Ac 0.6024 0.6024 0.9580
Ac 0.6841 0.6841 0.4688
Ac 0.8560 0.8560 0.2908
Ac 0.9295 0.9295 0.7767
Tl 0.5000 0.5000 0.5000
Zn 0.2241 0.2241 0.1175
Zn 0.7759 0.7759 0.8825

[8]
This record from Alexandria describes HoHg2Pd6 after structural relaxation. The functional is GGA-PBE.

Computed properties:
Its density of states at the Fermi level is 3.46 states/eV per cell. As for the formation energy: -3.7 eV/f.u. The calculation puts the energy at -4.453 eV per atom. As for the space-group type: C2/m, No. 12. As for the crystal system: monoclinic.

abc: 5.0062 5.0062 8.5862
angles: 105.02 105.02 49.97
Fractional positions:
Ho 0.0000 0.0000 0.0000
Hg 0.3115 0.3115 0.7604
Hg 0.6885 0.6885 0.2396
Pd 0.0130 0.0130 0.3361
Pd 0.3424 0.3424 0.4467
Pd 0.3430 0.3430 0.1159
Pd 0.6570 0.6570 0.8841
Pd 0.6576 0.6576 0.5533
Pd 0.9870 0.9870 0.6639

[9]
This record from Alexandria describes SrNi2Mo2 after structural relaxation. The functional is GGA-PBE.

Computed properties:
Its density of states at the Fermi level is 13.66 states/eV per cell. As for the formation energy: 2.0 eV/f.u. The calculation puts the energy at -6.581 eV per atom. As for the space-group type: P4/mbm, No. 127. As for the crystal system: tetragonal.

abc: 7.8629 7.8629 2.7074
angles: 90.00 90.00 90.00
Fractional positions:
Sr 0.0000 0.0000 0.0000
Sr 0.5000 0.5000 0.0000
Ni 0.1726 0.3274 0.5000
Ni 0.3274 0.8274 0.5000
Ni 0.6726 0.1726 0.5000
Ni 0.8274 0.6726 0.5000
Mo 0.1147 0.6147 0.0000
Mo 0.3853 0.1147 0.0000
Mo 0.6147 0.8853 0.0000
Mo 0.8853 0.3853 0.0000

[10]
This record from Alexandria describes Ba2MgTlRh after structural relaxation. The functional is GGA-PBE.

Computed properties:
Its density of states at the Fermi level is 3.71 states/eV per cell. As for the formation energy: -0.7 eV/f.u. The calculation puts the energy at -3.163 eV per atom. As for the space-group type: P4/mmm, No. 123. As for the crystal system: tetragonal.

abc: 6.0257 6.0257 5.3469
angles: 90.00 90.00 90.00
Fractional positions:
Ba 0.0000 0.5000 0.0000
Ba 0.5000 0.0000 0.0000
Mg 0.0000 0.0000 0.5000
Tl 0.5000 0.5000 0.5000
Rh 0.5000 0.5000 0.0000

[11]
This record from Alexandria describes LuScHgPb after structural relaxation. The functional is GGA-PBE.

Computed properties:
Its density of states at the Fermi level is 4.04 states/eV per cell. As for the formation energy: -1.4 eV/f.u. The calculation puts the energy at -4.073 eV per atom. As for the space-group type: F-43m, No. 216. As for the crystal system: cubic.

abc: 5.1664 5.1664 5.1664
angles: 60.00 60.00 60.00
Fractional positions:
Lu 0.0000 0.0000 0.0000
Sc 0.5000 0.5000 0.5000
Hg 0.7500 0.7500 0.7500
Pb 0.2500 0.2500 0.2500

[12]
This record from Alexandria describes TcMoP2 after structural relaxation. The functional is GGA-PBE.

Computed properties:
Its density of states at the Fermi level is 3.39 states/eV per cell. As for the formation energy: -0.6 eV/f.u. The calculation puts the energy at -8.165 eV per atom. As for the space-group type: R-3m, No. 166. As for the crystal system: trigonal.

abc: 7.6019 7.6019 7.6019
angles: 22.35 22.35 22.35
Fractional positions:
Tc 0.0000 0.0000 0.0000
Mo 0.5000 0.5000 0.5000
P 0.2520 0.2520 0.2520
P 0.7480 0.7480 0.7480

Q: What is the energy in the twelfth record?
A: -8.165 eV per atom